Compound: NaMoRu2Br
Source: the Alexandria database
Functional: PBE-GGA
Structure: relaxed

POSCAR file:
```
NaMoRu2Br
1.0
4.6051 0.0000 0.0000
0.0000 4.5177 0.0000
0.0000 0.0000 4.6051
Br Mo Ru Na
1 1 2 1
Cartesian
0.0000 2.2588 0.0000
2.3025 2.2588 2.3025
2.3025 0.0000 0.0000
0.0000 0.0000 2.3025
0.0000 0.0000 0.0000
```

Summary:
Density ... 6.9 g/cm³
Formation energy (no corrections) ... 1200 kJ/mol of formula units

=====

Compound: NaMoSe2Br
Source: the Alexandria database
Functional: PBE-GGA
Structure: relaxed

POSCAR file:
```
NaMoSe2Br
1.0
-3.6135 -0.7870 3.2048
2.5835 -3.6315 2.0212
2.3561 3.6540 3.5537
Br Se Na Mo
1 2 1 1
Cartesian
1.1780 1.8270 1.7769
1.2917 -1.8158 1.0106
-1.8067 -0.3935 1.6024
0.6630 -0.3823 4.3899
0.0000 0.0000 0.0000
```

Summary:
Density ... 4.4 g/cm³
Formation energy (no corrections) ... -178 kJ/mol of formula units
ΔE to the lowest computed polymorph ... 0.000 eV per atom